(1)
Density functional theory data (PBE) for an optimized crystal structure of Zr2ScS5.

Properties
The formation energy from raw total energies comes out at -1435 meV per atom. As for the volume: 18.7 A^3/atom.

Unit cell a=4.984 b=8.421 c=14.265 alpha=90.00 beta=90.00 gamma=90.00
Space group Fmmm (No. 69)
Inequivalent atoms, fractional coordinates:
Zr: 0.000 0.000 0.180 (multiplicity 8)
Sc: 0.000 0.000 0.500 (multiplicity 4)
S: 0.000 0.000 0.000 (multiplicity 4)
S: 0.000 0.164 0.342 (multiplicity 16)

---

(2)
Density functional theory data (PBE) for an optimized crystal structure of ZrScS.

Properties
The value obtained for the relative energy among the computed polymorphs is 0.11 eV/f.u. The formation energy from raw total energies comes out at -1138 meV per atom. As for the volume: 20.5 A^3/atom.

Unit cell a=3.5112 b=3.5112 c=5.7483 alpha=90.00 beta=90.00 gamma=120.00
Space group P3m1 (No. 156)
Inequivalent atoms, fractional coordinates:
Zr: 0.0000 0.0000 0.0000 (multiplicity 1)
Sc: 0.3333 0.6667 0.5580 (multiplicity 1)
S: 0.6667 0.3333 0.2810 (multiplicity 1)